Compound: Sm2SiCl
Source: Alexandria via LeMat-Bulk
Functional: GGA-PBE
Structure: optimized geometry

a = 4.1179 Å, b = 4.1179 Å, c = 22.0530 Å
α = 90.00°, β = 90.00°, γ = 120.00°
Last column: nearest neighbours and their distance in Å.
Atoms (fractional coordinates):
Sm (0.0000, 0.0000, 0.0000)  3 Si 2.84, 3 Cl 3.12
Sm (0.0000, 0.0000, 0.1918)  3 Si 2.85
Sm (0.3333, 0.6667, 0.6667)  3 Si 2.84, 3 Cl 3.12-3.13
Sm (0.3333, 0.6667, 0.8585)  3 Si 2.85
Sm (0.6667, 0.3333, 0.3333)  3 Si 2.84, 3 Cl 3.12
Sm (0.6667, 0.3333, 0.5252)  3 Si 2.85
Si (0.0000, 0.0000, 0.5965)  6 Sm 2.84-2.85
Si (0.3333, 0.6667, 0.2632)  6 Sm 2.84-2.85
Si (0.6667, 0.3333, 0.9299)  6 Sm 2.84-2.85
Cl (0.0000, 0.0000, 0.4253)  6 Sm 3.12-3.24
Cl (0.3333, 0.6667, 0.0920)  6 Sm 3.12-3.24
Cl (0.6667, 0.3333, 0.7586)  6 Sm 3.12-3.24

Properties
The relative energy among the computed polymorphs comes out at 71 meV per atom. As for the space-group type: R3m (160). For the formation energy without anion corrections, the calculation gives -4.4 eV/f.u. As for the crystal system: trigonal.



Compound: Sm2SiCl
Source: Alexandria via LeMat-Bulk
Functional: GGA-PBE
Structure: optimized geometry

a = 5.8146 Å, b = 5.8146 Å, c = 11.9667 Å
α = 90.00°, β = 90.00°, γ = 90.00°
Last column: nearest neighbours and their distance in Å.
Atoms (fractional coordinates):
Sm (0.0000, 0.2500, 0.1149)  3 Si 2.87-2.91, 3 Cl 2.91-3.11
Sm (0.0000, 0.2500, 0.6351)  3 Si 2.87-2.91, 3 Cl 2.91-3.11
Sm (0.0000, 0.7500, 0.3649)  3 Si 2.87-2.91, 3 Cl 2.91-3.11
Sm (0.0000, 0.7500, 0.8851)  3 Si 2.87-2.91, 3 Cl 2.91-3.11
Sm (0.5000, 0.2500, 0.3851)  3 Si 2.87-2.91, 3 Cl 2.91-3.11
Sm (0.5000, 0.2500, 0.8649)  3 Si 2.87-2.91, 3 Cl 2.91-3.11
Sm (0.5000, 0.7500, 0.1351)  3 Si 2.87-2.91, 3 Cl 2.91-3.11
Sm (0.5000, 0.7500, 0.6149)  3 Si 2.87-2.91, 3 Cl 2.91-3.11
Si (0.0000, 0.2500, 0.8750)  6 Sm 2.87-2.91
Si (0.0000, 0.7500, 0.1250)  6 Sm 2.87-2.91
Si (0.5000, 0.2500, 0.6250)  6 Sm 2.87-2.91
Si (0.5000, 0.7500, 0.3750)  6 Sm 2.87-2.91
Cl (0.0000, 0.2500, 0.3750)  6 Sm 2.91-3.11
Cl (0.0000, 0.7500, 0.6250)  6 Sm 2.91-3.11
Cl (0.5000, 0.2500, 0.1250)  6 Sm 2.91-3.11
Cl (0.5000, 0.7500, 0.8750)  6 Sm 2.91-3.11

Properties
The relative energy among the computed polymorphs comes out at 0 meV per atom. As for the space-group type: I4_1/amd (141). For the formation energy without anion corrections, the calculation gives -4.7 eV/f.u. As for the crystal system: tetragonal.



Compound: Sm7SiCl12
Source: Alexandria via LeMat-Bulk
Functional: GGA-PBE
Structure: optimized geometry

a = 8.9977 Å, b = 8.9977 Å, c = 8.9977 Å
α = 107.59°, β = 107.59°, γ = 107.59°
Last column: nearest neighbours and their distance in Å.
Atoms (fractional coordinates):
Sm (0.0000, 0.0000, 0.0000)  6 Cl 2.76
Sm (0.1702, 0.3879, 0.4698)  1 Si 2.73, 5 Cl 2.81-2.93
Sm (0.3879, 0.4698, 0.1702)  1 Si 2.73, 5 Cl 2.81-2.93
Sm (0.4698, 0.1702, 0.3879)  1 Si 2.73, 5 Cl 2.81-2.93
Sm (0.5302, 0.8298, 0.6121)  1 Si 2.73, 5 Cl 2.81-2.93
Sm (0.6121, 0.5302, 0.8298)  1 Si 2.73, 5 Cl 2.81-2.93
Sm (0.8298, 0.6121, 0.5302)  1 Si 2.73, 5 Cl 2.81-2.93
Si (0.5000, 0.5000, 0.5000)  6 Sm 2.73
Cl (0.0327, 0.3349, 0.1153)  3 Sm 2.76-2.88
Cl (0.1153, 0.0327, 0.3349)  3 Sm 2.76-2.88
Cl (0.1886, 0.7232, 0.5773)  3 Sm 2.81-2.93
Cl (0.2768, 0.4227, 0.8114)  3 Sm 2.81-2.93
Cl (0.3349, 0.1153, 0.0327)  3 Sm 2.76-2.88
Cl (0.4227, 0.8114, 0.2768)  3 Sm 2.81-2.93
Cl (0.5773, 0.1886, 0.7232)  3 Sm 2.81-2.93
Cl (0.6651, 0.8847, 0.9673)  3 Sm 2.76-2.88
Cl (0.7232, 0.5773, 0.1886)  3 Sm 2.81-2.93
Cl (0.8114, 0.2768, 0.4227)  3 Sm 2.81-2.93
Cl (0.8847, 0.9673, 0.6651)  3 Sm 2.76-2.88
Cl (0.9673, 0.6651, 0.8847)  3 Sm 2.76-2.88

Properties
As for the space-group type: R-3 (148). For the formation energy without anion corrections, the calculation gives -38.8 eV/f.u. As for the crystal system: trigonal.



Compound: Sm4SiCl5
Source: Alexandria via LeMat-Bulk
Functional: GGA-PBE
Structure: optimized geometry

a = 9.2251 Å, b = 9.2251 Å, c = 8.3033 Å
α = 103.86°, β = 103.86°, γ = 25.33°
Last column: nearest neighbours and their distance in Å.
Atoms (fractional coordinates):
Sm (0.0003, 0.0003, 0.2322)  2 Si 2.79, 4 Cl 2.90-3.01
Sm (0.9997, 0.9997, 0.7678)  2 Si 2.79, 4 Cl 2.90-3.01
Sm (0.3447, 0.3447, 0.9093)  1 Si 2.71, 4 Cl 2.80-2.87
Sm (0.6553, 0.6553, 0.0907)  1 Si 2.71, 4 Cl 2.80-2.87
Si (0.5000, 0.5000, 0.0000)  6 Sm 2.71-2.79
Cl (0.1661, 0.1661, 0.3289)  3 Sm 2.80-2.90
Cl (0.1712, 0.1712, 0.8556)  4 Sm 2.87-3.04
Cl (0.5000, 0.5000, 0.5000)  4 Sm 3.01
Cl (0.8288, 0.8288, 0.1444)  4 Sm 2.87-3.04
Cl (0.8339, 0.8339, 0.6711)  3 Sm 2.80-2.90

Properties
As for the space-group type: C2/m (12). For the formation energy without anion corrections, the calculation gives -17.3 eV/f.u. As for the crystal system: monoclinic.



Compound: Sm2SiCl
Source: Alexandria via LeMat-Bulk
Functional: GGA-PBE
Structure: optimized geometry

a = 4.1958 Å, b = 4.1958 Å, c = 20.5900 Å
α = 90.00°, β = 90.00°, γ = 120.00°
Last column: nearest neighbours and their distance in Å.
Atoms (fractional coordinates):
Sm (0.0000, 0.0000, 0.2409)  3 Si 2.86, 3 Cl 3.08
Sm (0.0000, 0.0000, 0.7591)  3 Si 2.86, 3 Cl 3.08
Sm (0.3333, 0.6667, 0.4257)  3 Si 2.86, 3 Cl 3.08
Sm (0.3333, 0.6667, 0.9076)  3 Si 2.86, 3 Cl 3.08
Sm (0.6667, 0.3333, 0.0924)  3 Si 2.86, 3 Cl 3.08
Sm (0.6667, 0.3333, 0.5743)  3 Si 2.86, 3 Cl 3.08
Si (0.0000, 0.0000, 0.5000)  6 Sm 2.86
Si (0.3333, 0.6667, 0.1667)  6 Sm 2.86
Si (0.6667, 0.3333, 0.8333)  6 Sm 2.86
Cl (0.0000, 0.0000, 0.0000)  6 Sm 3.08
Cl (0.3333, 0.6667, 0.6667)  6 Sm 3.08
Cl (0.6667, 0.3333, 0.3333)  6 Sm 3.08

Properties
The relative energy among the computed polymorphs comes out at 12 meV per atom. As for the space-group type: R-3m (166). For the formation energy without anion corrections, the calculation gives -4.7 eV/f.u. As for the crystal system: trigonal.



Compound: Sm4Si2Cl3
Source: Alexandria via LeMat-Bulk
Functional: GGA-PBE
Structure: optimized geometry

a = 4.1669 Å, b = 4.1669 Å, c = 17.0392 Å
α = 90.17°, β = 90.17°, γ = 60.02°
Last column: nearest neighbours and their distance in Å.
Atoms (fractional coordinates):
Sm (0.0026, 0.0026, 0.2997)  3 Cl 2.88-2.89, 3 Si 2.93
Sm (0.3342, 0.3342, 0.1114)  3 Si 2.86, 3 Cl 3.06-3.07
Sm (0.6658, 0.6658, 0.8886)  3 Si 2.86, 3 Cl 3.06-3.07
Sm (0.9974, 0.9974, 0.7003)  3 Cl 2.88-2.89, 3 Si 2.93
Si (0.3316, 0.3316, 0.7982)  6 Sm 2.86-2.93
Si (0.6684, 0.6684, 0.2018)  6 Sm 2.86-2.93
Cl (0.0000, 0.0000, 0.0000)  6 Sm 3.06-3.07
Cl (0.3366, 0.3366, 0.3932)  3 Sm 2.88-2.89
Cl (0.6634, 0.6634, 0.6068)  3 Sm 2.88-2.89

Properties
As for the space-group type: C2/m (12). For the formation energy without anion corrections, the calculation gives -12.5 eV/f.u. As for the crystal system: monoclinic.



Compound: Sm4SiTe2Cl2
Source: Alexandria via LeMat-Bulk
Functional: GGA-PBE
Structure: optimized geometry

a = 8.4429 Å, b = 8.4429 Å, c = 8.6857 Å
α = 115.02°, β = 115.02°, γ = 29.22°
Last column: nearest neighbours and their distance in Å.
Atoms (fractional coordinates):
Sm (0.0187, 0.0187, 0.2989)  1 Cl 2.74, 2 Si 2.85
Sm (0.3039, 0.3039, 0.3066)  1 Si 2.90, 3 Cl 2.98-3.24, 2 Te 3.15
Sm (0.6961, 0.6961, 0.6934)  1 Si 2.90, 3 Cl 2.98-3.24, 2 Te 3.15
Sm (0.9813, 0.9813, 0.7011)  1 Cl 2.74, 2 Si 2.85
Si (0.5000, 0.5000, 0.5000)  6 Sm 2.85-2.90
Te (0.3426, 0.3426, 0.7140)  5 Sm 3.15-3.31
Te (0.6574, 0.6574, 0.2860)  5 Sm 3.15-3.31
Cl (0.1654, 0.1654, 0.9030)  3 Sm 2.74-2.98
Cl (0.8346, 0.8346, 0.0970)  3 Sm 2.74-2.98

Properties
As for the space-group type: C2/m (12). For the formation energy without anion corrections, the calculation gives -12.5 eV/f.u. As for the crystal system: monoclinic.



Compound: Sm8Si3Te4Cl
Source: Alexandria via LeMat-Bulk
Functional: GGA-PBE
Structure: optimized geometry

a = 8.7486 Å, b = 8.7486 Å, c = 8.7486 Å
α = 58.68°, β = 58.68°, γ = 58.68°
Last column: nearest neighbours and their distance in Å.
Atoms (fractional coordinates):
Sm (0.2277, 0.7472, 0.7472)  2 Si 2.91, 1 Cl 3.03, 3 Te 3.11-3.22
Sm (0.2405, 0.2405, 0.2405)  3 Si 2.95, 3 Te 3.19
Sm (0.2528, 0.2528, 0.7723)  2 Si 2.91, 1 Cl 3.03, 3 Te 3.11-3.22
Sm (0.2528, 0.7723, 0.2528)  2 Si 2.91, 1 Cl 3.03, 3 Te 3.11-3.22
Sm (0.7472, 0.2277, 0.7472)  2 Si 2.91, 1 Cl 3.03, 3 Te 3.11-3.22
Sm (0.7472, 0.7472, 0.2277)  2 Si 2.91, 1 Cl 3.03, 3 Te 3.11-3.22
Sm (0.7595, 0.7595, 0.7595)  3 Si 2.95, 3 Te 3.19
Sm (0.7723, 0.2528, 0.2528)  2 Si 2.91, 1 Cl 3.03, 3 Te 3.11-3.22
Si (0.0000, 0.0000, 0.5000)  6 Sm 2.91-2.95
Si (0.0000, 0.5000, 0.0000)  6 Sm 2.91-2.95
Si (0.5000, 0.0000, 0.0000)  6 Sm 2.91-2.95
Te (0.0000, 0.0000, 0.0000)  6 Sm 3.11
Te (0.0000, 0.5000, 0.5000)  6 Sm 3.19-3.22
Te (0.5000, 0.0000, 0.5000)  6 Sm 3.19-3.22
Te (0.5000, 0.5000, 0.0000)  6 Sm 3.19-3.22
Cl (0.5000, 0.5000, 0.5000)  6 Sm 3.03

Properties
As for the space-group type: R-3m (166). For the formation energy without anion corrections, the calculation gives -19.7 eV/f.u. As for the crystal system: trigonal.



Compound: Sm3SiTeCl
Source: Alexandria via LeMat-Bulk
Functional: GGA-PBE
Structure: optimized geometry

a = 8.8139 Å, b = 4.2398 Å, c = 9.8590 Å
α = 90.00°, β = 94.75°, γ = 90.00°
Last column: nearest neighbours and their distance in Å.
Atoms (fractional coordinates):
Sm (0.0957, 0.2500, 0.3484)  3 Si 2.92-2.95, 2 Te 3.20
Sm (0.1732, 0.2500, 0.9306)  2 Cl 2.75, 1 Si 2.80
Sm (0.3654, 0.7500, 0.6394)  1 Cl 2.85, 2 Si 2.93, 1 Te 3.19
Sm (0.6346, 0.2500, 0.3606)  1 Cl 2.85, 2 Si 2.93, 1 Te 3.19
Sm (0.8268, 0.7500, 0.0694)  2 Cl 2.75, 1 Si 2.80
Sm (0.9043, 0.7500, 0.6516)  3 Si 2.92-2.95, 2 Te 3.20
Si (0.1368, 0.2500, 0.6454)  6 Sm 2.80-2.95
Si (0.8632, 0.7500, 0.3546)  6 Sm 2.80-2.95
Te (0.3618, 0.7500, 0.3161)  5 Sm 3.19-3.21
Te (0.6382, 0.2500, 0.6839)  5 Sm 3.19-3.21
Cl (0.3718, 0.7500, 0.9287)  3 Sm 2.75-2.85
Cl (0.6282, 0.2500, 0.0713)  3 Sm 2.75-2.85

Properties
As for the space-group type: P2_1/m (11). For the formation energy without anion corrections, the calculation gives -6.8 eV/f.u. As for the crystal system: monoclinic.



Compound: Sm4SiTe2Cl
Source: Alexandria via LeMat-Bulk
Functional: GGA-PBE
Structure: optimized geometry

a = 7.3487 Å, b = 4.2706 Å, c = 7.6090 Å
α = 90.00°, β = 108.99°, γ = 90.00°
Last column: nearest neighbours and their distance in Å.
Atoms (fractional coordinates):
Sm (0.2278, 0.0000, 0.2180)  2 Si 2.88, 1 Cl 2.99, 3 Te 3.12-3.22
Sm (0.2440, 0.5000, 0.7778)  1 Si 2.84, 2 Cl 2.98, 2 Te 3.13
Sm (0.7560, 0.5000, 0.2222)  1 Si 2.84, 2 Cl 2.98, 2 Te 3.13
Sm (0.7722, 0.0000, 0.7820)  2 Si 2.88, 1 Cl 2.99, 3 Te 3.12-3.22
Si (0.0000, 0.5000, 0.0000)  6 Sm 2.84-2.88
Te (0.0000, 0.0000, 0.5000)  6 Sm 3.12-3.13
Te (0.5000, 0.5000, 0.5000)  6 Sm 3.22-3.25
Cl (0.5000, 0.0000, 0.0000)  6 Sm 2.98-2.99

Properties
As for the space-group type: P2/m (10). For the formation energy without anion corrections, the calculation gives -10.3 eV/f.u. As for the crystal system: monoclinic.



Compound: SiSn3Cl
Source: Alexandria via LeMat-Bulk
Functional: GGA-PBE
Structure: optimized geometry

a = 5.3181 Å, b = 5.3181 Å, c = 5.3181 Å
α = 90.00°, β = 90.00°, γ = 90.00°
Last column: nearest neighbours and their distance in Å.
Atoms (fractional coordinates):
Si (0.0000, 0.0000, 0.0000)  6 Sn 2.66
Sn (0.0000, 0.0000, 0.5000)  2 Si 2.66
Sn (0.0000, 0.5000, 0.0000)  2 Si 2.66
Sn (0.5000, 0.0000, 0.0000)  2 Si 2.66
Cl (0.5000, 0.5000, 0.5000)  12 Sn 3.76

Properties
The relative energy among the computed polymorphs comes out at 0 meV per atom. As for the space-group type: Pm-3m (221). For the formation energy without anion corrections, the calculation gives 1.7 eV/f.u. As for the crystal system: cubic.



Compound: SiSnCl3
Source: Alexandria via LeMat-Bulk
Functional: GGA-PBE
Structure: optimized geometry

a = 5.0551 Å, b = 5.0551 Å, c = 5.0551 Å
α = 90.00°, β = 90.00°, γ = 90.00°
Last column: nearest neighbours and their distance in Å.
Atoms (fractional coordinates):
Si (0.0000, 0.0000, 0.0000)  6 Cl 2.53
Sn (0.5000, 0.5000, 0.5000)  12 Cl 3.57
Cl (0.0000, 0.0000, 0.5000)  2 Si 2.53
Cl (0.0000, 0.5000, 0.0000)  2 Si 2.53
Cl (0.5000, 0.0000, 0.0000)  2 Si 2.53

Properties
The relative energy among the computed polymorphs comes out at 0 meV per atom. As for the space-group type: Pm-3m (221). For the formation energy without anion corrections, the calculation gives -1.2 eV/f.u. As for the crystal system: cubic.